No. 1
DFT (PBEsol) results for crystalline Cs3SbS4 at its relaxed geometry.

```
Cs3SbS4
1.0
9.813 0.000 0.000
0.000 11.500 0.000
0.000 0.000 10.058
Cs Sb S
12 4 16
Direct
0.050 0.041 0.202
0.050 0.459 0.202
0.148 0.750 0.418
0.352 0.250 0.918
0.450 0.541 0.702
0.450 0.959 0.702
0.550 0.041 0.298
0.550 0.459 0.298
0.648 0.750 0.082
0.852 0.250 0.582
0.950 0.541 0.798
0.950 0.959 0.798
0.228 0.750 0.980
0.272 0.250 0.480
0.728 0.750 0.520
0.772 0.250 0.020
0.011 0.750 0.081
0.154 0.080 0.539
0.154 0.420 0.539
0.199 0.750 0.748
0.301 0.250 0.248
0.346 0.580 0.039
0.346 0.920 0.039
0.489 0.250 0.581
0.511 0.750 0.419
0.654 0.080 0.961
0.654 0.420 0.961
0.699 0.750 0.752
0.801 0.250 0.252
0.846 0.580 0.461
0.846 0.920 0.461
0.989 0.250 0.919
```

## Properties
- mass density (g/cm³) = 3.8
- energy relative to the elements, uncorrected (meV per atom) = -931
- DOS at the Fermi energy (states/eV/atom) = 0.00

***

No. 2
DFT (PBEsol) results for crystalline ReSb2H at its relaxed geometry.

```
ReSb2H
1.0
-3.137 3.137 3.335
3.137 -3.137 3.335
3.137 3.137 -3.335
Re Sb H
2 4 2
Direct
0.000 0.000 0.000
0.750 0.250 0.500
0.194 0.625 0.069
0.375 0.444 0.569
0.556 0.125 0.931
0.875 0.806 0.431
0.250 0.750 0.500
0.500 0.500 0.000
```

## Properties
- mass density (g/cm³) = 10.9
- DOS at the Fermi energy (states/eV/atom) = 0.50

***

No. 3
DFT (PBEsol) results for crystalline ZrRu2W at its relaxed geometry.

```
ZrRu2W
1.0
0.000 3.148 3.148
3.148 0.000 3.148
3.148 3.148 0.000
Zr Ru W
1 2 1
Direct
0.000 0.000 0.000
0.500 0.500 0.500
0.750 0.750 0.750
0.250 0.250 0.250
```

## Properties
- mass density (g/cm³) = 12.7
- formation energy (eV/f.u.) = 0.6
- DOS at the Fermi energy (states/eV/atom) = 1.32

***

No. 4
DFT (PBEsol) results for crystalline SrBe2Pt at its relaxed geometry.

```
SrBe2Pt
1.0
-2.315 2.315 7.456
2.315 -2.315 7.456
2.315 2.315 -7.456
Sr Be Pt
2 4 2
Direct
0.375 0.625 0.750
0.625 0.375 0.250
0.000 0.000 0.000
0.000 0.000 0.500
0.000 0.500 0.000
0.500 0.000 0.500
0.125 0.875 0.250
0.875 0.125 0.750
```

## Properties
- mass density (g/cm³) = 6.2
- formation energy (eV/f.u.) = -0.9
- DOS at the Fermi energy (states/eV/atom) = 0.55

***

No. 5
DFT (PBEsol) results for crystalline KScPt2 at its relaxed geometry.

```
KScPt2
1.0
3.185 0.000 0.000
0.000 3.185 0.000
0.000 0.000 7.981
K Sc Pt
1 1 2
Direct
0.000 0.000 0.000
0.000 0.000 0.500
0.500 0.500 0.307
0.500 0.500 0.693
```

## Properties
- mass density (g/cm³) = 9.7
- formation energy (eV/f.u.) = -2.4
- DOS at the Fermi energy (states/eV/atom) = 0.47

***

No. 6
DFT (PBEsol) results for crystalline Mg2Sc3MnS8 at its relaxed geometry.

```
Mg2Sc3MnS8
1.0
3.716 2.145 6.011
-3.716 2.145 6.011
0.000 -4.290 6.011
Mg Sc Mn S
2 3 1 8
Direct
0.124 0.124 0.124
0.876 0.876 0.876
0.000 0.500 0.500
0.500 0.000 0.500
0.500 0.500 0.000
0.500 0.500 0.500
0.258 0.258 0.258
0.266 0.266 0.722
0.266 0.722 0.266
0.278 0.734 0.734
0.722 0.266 0.266
0.734 0.278 0.734
0.734 0.734 0.278
0.742 0.742 0.742
```

## Properties
- mass density (g/cm³) = 2.9
- energy relative to the elements, uncorrected (meV per atom) = -1516
- DOS at the Fermi energy (states/eV/atom) = 0.15

***

No. 7
DFT (PBEsol) results for crystalline CsAlPb2N at its relaxed geometry.

```
CsAlPb2N
1.0
6.168 0.000 0.000
0.000 6.168 0.000
0.000 0.000 3.585
Cs Al Pb N
1 1 2 1
Direct
0.000 0.000 0.000
0.500 0.500 0.000
0.000 0.500 0.500
0.500 0.000 0.500
0.500 0.500 0.500
```

## Properties
- mass density (g/cm³) = 7.2
- energy relative to the elements, uncorrected (meV per atom) = 277
- DOS at the Fermi energy (states/eV/atom) = 0.66

***

No. 8
DFT (PBEsol) results for crystalline CoHS2 at its relaxed geometry.

```
CoHS2
1.0
-2.366 2.366 4.565
2.366 -2.366 4.565
2.366 2.366 -4.565
Co H S
2 2 4
Direct
0.000 0.000 0.000
0.750 0.250 0.500
0.250 0.750 0.500
0.500 0.500 0.000
0.143 0.625 0.018
0.375 0.393 0.518
0.607 0.125 0.982
0.875 0.857 0.482
```

## Properties
- mass density (g/cm³) = 4.0
- DOS at the Fermi energy (states/eV/atom) = 0.68

***

No. 9
DFT (PBEsol) results for crystalline KBaP2 at its relaxed geometry.

```
KBaP2
1.0
4.314 0.000 0.000
0.000 2.415 5.412
0.000 -2.415 5.412
K Ba P
1 1 2
Direct
0.000 0.000 0.000
0.500 0.722 0.722
0.000 0.305 0.305
0.500 0.404 0.404
```

## Properties
- mass density (g/cm³) = 3.5
- formation energy (eV/f.u.) = -2.4
- DOS at the Fermi energy (states/eV/atom) = 0.10

***

No. 10
DFT (PBEsol) results for crystalline Tl2HgPd at its relaxed geometry.

```
Tl2HgPd
1.0
-4.365 4.365 2.694
4.365 -4.365 2.694
4.365 4.365 -2.694
Tl Hg Pd
4 2 2
Direct
0.040 0.625 0.915
0.375 0.290 0.415
0.710 0.125 0.085
0.875 0.960 0.585
0.250 0.750 0.500
0.500 0.500 0.000
0.000 0.000 0.000
0.750 0.250 0.500
```

## Properties
- mass density (g/cm³) = 11.6
- formation energy (eV/f.u.) = 0.1
- DOS at the Fermi energy (states/eV/atom) = 0.43

***

No. 11
DFT (PBEsol) results for crystalline MnSe at its relaxed geometry.

```
MnSe
1.0
2.963 0.000 0.000
-1.482 2.566 0.000
0.000 0.000 8.402
Mn Se
2 2
Direct
0.333 0.667 0.105
0.667 0.333 0.895
0.333 0.667 0.707
0.667 0.333 0.293
```

## Properties
- mass density (g/cm³) = 7.0
- energy relative to the elements, uncorrected (meV per atom) = -47
- DOS at the Fermi energy (states/eV/atom) = 0.40

***

No. 12
DFT (PBEsol) results for crystalline K3Au at its relaxed geometry.

```
K3Au
1.0
7.956 0.000 0.000
-3.978 6.890 0.000
0.000 0.000 5.699
K Au
6 2
Direct
0.183 0.367 0.250
0.183 0.817 0.250
0.367 0.183 0.750
0.633 0.817 0.250
0.817 0.183 0.750
0.817 0.633 0.750
0.333 0.667 0.750
0.667 0.333 0.250
```

## Properties
- mass density (g/cm³) = 3.3
- formation energy (eV/f.u.) = 0.0
- DOS at the Fermi energy (states/eV/atom) = 0.51

***

No. 13
DFT (PBEsol) results for crystalline IrRh2 at its relaxed geometry.

```
IrRh2
1.0
2.683 0.000 0.000
-1.341 2.323 0.000
0.000 0.000 6.572
Ir Rh
1 2
Direct
0.000 0.000 0.000
0.333 0.667 0.667
0.667 0.333 0.333
```

## Properties
- mass density (g/cm³) = 16.1
- formation energy (eV/f.u.) = 0.0
- DOS at the Fermi energy (states/eV/atom) = 1.05

***

No. 14
DFT (PBEsol) results for crystalline SbSeCl9 at its relaxed geometry.

```
SbSeCl9
1.0
9.402 0.000 0.000
0.000 10.960 0.000
-3.036 0.000 12.471
Sb Se Cl
4 4 36
Direct
0.026 0.250 0.379
0.324 0.750 0.167
0.676 0.250 0.833
0.974 0.750 0.621
0.065 0.250 0.883
0.364 0.750 0.679
0.636 0.250 0.321
0.935 0.750 0.117
0.135 0.750 0.495
0.143 0.750 0.995
0.145 0.598 0.721
0.145 0.902 0.721
0.153 0.250 0.242
0.167 0.094 0.477
0.167 0.406 0.477
0.167 0.598 0.224
0.167 0.902 0.224
0.173 0.250 0.750
0.186 0.100 0.975
0.186 0.400 0.975
0.452 0.593 0.104
0.452 0.907 0.104
0.477 0.599 0.622
0.477 0.901 0.622
0.481 0.750 0.339
0.486 0.750 0.846
0.514 0.250 0.154
0.519 0.250 0.661
0.523 0.099 0.378
0.523 0.401 0.378
0.548 0.093 0.896
0.548 0.407 0.896
0.814 0.600 0.025
0.814 0.900 0.025
0.827 0.750 0.250
0.833 0.098 0.776
0.833 0.402 0.776
0.833 0.594 0.523
0.833 0.906 0.523
0.847 0.750 0.758
0.855 0.098 0.279
0.855 0.402 0.279
0.857 0.250 0.005
0.865 0.250 0.505
```

## Properties
- mass density (g/cm³) = 2.7
- energy relative to the elements, uncorrected (meV per atom) = -524
- DOS at the Fermi energy (states/eV/atom) = 0.00

***

No. 15
DFT (PBEsol) results for crystalline MoIr2Rh at its relaxed geometry.

```
MoIr2Rh
1.0
-1.926 1.926 3.804
1.926 -1.926 3.804
1.926 1.926 -3.804
Mo Ir Rh
1 2 1
Direct
0.000 0.000 0.000
0.250 0.750 0.500
0.750 0.250 0.500
0.500 0.500 0.000
```

## Properties
- mass density (g/cm³) = 17.2
- formation energy (eV/f.u.) = -1.0
- DOS at the Fermi energy (states/eV/atom) = 0.89

***

No. 16
DFT (PBEsol) results for crystalline RbSnF2 at its relaxed geometry.

```
RbSnF2
1.0
1.799 1.039 7.832
-1.799 1.039 7.832
0.000 -2.078 7.832
Rb Sn F
1 1 2
Direct
0.000 0.000 0.000
0.500 0.500 0.500
0.406 0.406 0.406
0.594 0.594 0.594
```

## Properties
- mass density (g/cm³) = 4.6
- energy relative to the elements, uncorrected (meV per atom) = -2055
- DOS at the Fermi energy (states/eV/atom) = 0.15

***

No. 17
DFT (PBEsol) results for crystalline Li2CoRh at its relaxed geometry.

```
Li2CoRh
1.0
2.656 0.000 0.000
0.000 4.198 0.000
0.000 0.000 4.317
Li Co Rh
2 1 1
Direct
0.000 0.000 0.000
0.500 0.500 0.000
0.000 0.500 0.500
0.500 0.000 0.500
```

## Properties
- mass density (g/cm³) = 6.1
- formation energy (eV/f.u.) = 0.1
- DOS at the Fermi energy (states/eV/atom) = 0.65

***

No. 18
DFT (PBEsol) results for crystalline GaPdSe2N at its relaxed geometry.

```
GaPdSe2N
1.0
5.055 0.000 0.000
0.000 5.055 0.000
0.000 0.000 3.513
Ga Pd Se N
1 1 2 1
Direct
0.000 0.000 0.000
0.500 0.500 0.500
0.000 0.500 0.000
0.500 0.000 0.000
0.000 0.000 0.500
```

## Properties
- mass density (g/cm³) = 6.4
- energy relative to the elements, uncorrected (meV per atom) = 758
- DOS at the Fermi energy (states/eV/atom) = 0.53

***

No. 19
DFT (PBEsol) results for crystalline LiCd2F at its relaxed geometry.

```
LiCd2F
1.0
0.000 3.285 3.285
3.285 0.000 3.285
3.285 3.285 0.000
Li Cd F
1 2 1
Direct
0.000 0.000 0.000
0.250 0.250 0.250
0.750 0.750 0.750
0.500 0.500 0.500
```

## Properties
- mass density (g/cm³) = 5.9
- energy relative to the elements, uncorrected (meV per atom) = -546
- DOS at the Fermi energy (states/eV/atom) = 0.23

***

No. 20
DFT (PBEsol) results for crystalline MgTe2Os at its relaxed geometry.

```
MgTe2Os
1.0
3.134 0.000 0.000
0.000 3.134 0.000
0.000 0.000 9.173
Mg Te Os
1 2 1
Direct
0.000 0.000 0.000
0.000 0.000 0.362
0.500 0.500 0.732
0.500 0.500 0.199
```

## Properties
- mass density (g/cm³) = 8.7
- energy relative to the elements, uncorrected (meV per atom) = 35
- DOS at the Fermi energy (states/eV/atom) = 0.22

***

no.,total DFT energy (no corrections) (eV for the cell shown)
1,-129.478
2,-45.178
3,-42.622
4,-35.494
5,-24.064
6,-89.302
7,-20.174
8,-39.355
9,-17.315
10,-23.341
11,-27.410
12,-14.693
13,-26.146
14,-128.984
15,-40.535
16,-17.360
17,-19.699
18,-21.736
19,-8.472
20,-20.847